1.
Entry from the Alexandria database: an optimized crystal structure of ErCd8Ag2 (GGA-PBE).

Summary:
The size of the total moment is 0.000 μB per atom. The calculation puts the excess energy over the best structure of this formula in the dataset at 0.00 kJ per mole of atoms.

Cell: 5.2108 5.7886 8.8244 Å, 109.15 96.44 90.00°
With the nearest neighbours (Å) after each atom.
Atoms (fractional coordinates):
Er 0.0000 0.0000 0.0000  14 Cd 3.21-3.41
Cd 0.5460 0.3423 0.1952  4 Cd 2.83-3.04, 2 Ag 2.97-3.06
Cd 0.4540 0.1471 0.8048  4 Cd 2.83-3.04, 2 Ag 2.97-3.06
Cd 0.9135 0.8061 0.6121  2 Ag 2.83-2.85
Cd 0.0865 0.1939 0.3879  2 Ag 2.83-2.85
Cd 0.5460 0.8529 0.1952  4 Cd 2.83-3.04, 2 Ag 2.97-3.06
Cd 0.4540 0.6577 0.8048  4 Cd 2.83-3.04, 2 Ag 2.97-3.06
Cd 0.0343 0.5917 0.1835  1 Ag 2.89, 5 Cd 2.95-3.04
Cd 0.9657 0.4083 0.8165  1 Ag 2.89, 5 Cd 2.95-3.04
Ag 0.3898 0.7384 0.4769  7 Cd 2.83-3.06, 2 Ag 3.12
Ag 0.6102 0.2616 0.5231  7 Cd 2.83-3.06, 2 Ag 3.12

2.
Entry from the Alexandria database: an optimized crystal structure of ErCd4Ag2 (GGA-PBE).

Summary:
The size of the total moment is 0.000 μB per atom. The calculation puts the excess energy over the best structure of this formula in the dataset at 0.00 kJ per mole of atoms.

Cell: 5.5478 5.9046 5.9046 Å, 77.76 61.94 61.94°
With the nearest neighbours (Å) after each atom.
Atoms (fractional coordinates):
Cd 0.6971 0.6072 0.9985  4 Cd 2.89-2.99, 4 Ag 2.99-3.02, 1 Er 3.16
Cd 0.3029 0.3928 0.0015  4 Cd 2.89-2.99, 4 Ag 2.99-3.02, 1 Er 3.16
Cd 0.6971 0.9986 0.6072  4 Cd 2.89-2.99, 4 Ag 2.99-3.02, 1 Er 3.16
Cd 0.3029 0.0014 0.3928  4 Cd 2.89-2.99, 4 Ag 2.99-3.02, 1 Er 3.16
Ag 0.7487 0.5005 0.5005  2 Ag 2.77-2.78, 8 Cd 2.99-3.02
Ag 0.2513 0.4995 0.4995  2 Ag 2.77-2.78, 8 Cd 2.99-3.02
Er 0.0000 0.0000 0.0000  12 Cd 3.16-3.45

3.
Entry from the Alexandria database: an optimized crystal structure of ErCd4Ag2 (GGA-PBE).

Summary:
The size of the total moment is 0.000 μB per atom. The calculation puts the excess energy over the best structure of this formula in the dataset at 3.15 kJ per mole of atoms.

Cell: 4.1301 4.2646 9.2090 Å, 103.39 90.00 90.00°
With the nearest neighbours (Å) after each atom.
Atoms (fractional coordinates):
Er 0.0000 0.0000 0.0000  8 Ag 3.25
Cd 0.5000 0.8215 0.6430  2 Ag 2.84, 4 Cd 2.97
Cd 0.0000 0.6845 0.3691  2 Ag 2.86, 6 Cd 2.97-3.17
Cd 0.5000 0.1785 0.3570  2 Ag 2.84, 4 Cd 2.97
Cd 0.0000 0.3155 0.6309  2 Ag 2.86, 6 Cd 2.97-3.17
Ag 0.5000 0.5738 0.1477  1 Ag 2.65, 4 Cd 2.84-2.86
Ag 0.5000 0.4262 0.8523  1 Ag 2.65, 4 Cd 2.84-2.86

We obtain calculated total energy values of -1.644, -2.129, -2.097 eV/atom for the records listed above, in that order.